Density functional theory data (PBE) for a relaxed Al2InAs2 crystal.

Unit cell a=4.8188 b=4.8188 c=5.8586 alpha=65.72 beta=65.72 gamma=90.00
Closest atoms and distances in Å follow each position.
Element x y z (fractional)
In  0.0000  0.0000  0.0000  8 As 3.39, 10 Al 3.45-3.65
As  0.7500  0.2500  0.5000  4 Al 2.63
As  0.2500  0.7500  0.5000  4 Al 2.63
Al  0.3618  0.3618  0.2764  4 As 2.63, 1 Al 2.63
Al  0.6382  0.6382  0.7236  4 As 2.63, 1 Al 2.63

Values from the calculation:
magnetization: 0.00 μB per atom
E_form: -0.1 eV/f.u.
offset from the most stable computed form: 94.8 meV/atom


Density functional theory data (PBE) for a relaxed YTm2Te crystal.

Unit cell a=3.9169 b=6.3195 c=9.7525 alpha=90.00 beta=90.00 gamma=108.07
Closest atoms and distances in Å follow each position.
Element x y z (fractional)
Y  0.9449  0.8897  0.2500  3 Te 3.19-3.49, 4 Tm 3.55
Y  0.0551  0.1103  0.7500  3 Te 3.19-3.49, 4 Tm 3.55
Tm  0.3651  0.7299  0.5370  3 Te 3.10-3.20, 3 Tm 3.33-3.46
Tm  0.6349  0.2701  0.0370  3 Te 3.10-3.20, 3 Tm 3.33-3.46
Tm  0.6349  0.2701  0.4630  3 Te 3.10-3.20, 3 Tm 3.33-3.46
Tm  0.3651  0.7299  0.9630  3 Te 3.10-3.20, 3 Tm 3.33-3.46
Te  0.7649  0.5296  0.7500  6 Tm 3.10-3.20, 2 Y 3.19
Te  0.2351  0.4704  0.2500  6 Tm 3.10-3.20, 2 Y 3.19

Values from the calculation:
magnetization: 0.00 μB per atom
offset from the most stable computed form: 0.0 meV/atom
ΔE_f (raw): -61 kJ/mol of atoms


Density functional theory data (PBE) for a relaxed U3SnHg3Se8 crystal.

Unit cell a=8.3697 b=8.3693 c=10.4962 alpha=113.58 beta=90.00 gamma=120.00
Closest atoms and distances in Å follow each position.
Element x y z (fractional)
Hg  0.5000  0.5000  0.0000  6 Se 3.98-4.04, 4 Hg 4.18
Hg  0.0000  0.5000  0.0000  6 Se 3.98-4.04, 4 Hg 4.18
Hg  0.0000  0.0000  0.0000  6 Se 3.98-4.04, 4 Hg 4.18
Se  0.3001  0.0704  0.3413  2 U 2.77, 1 Sn 2.96
Se  0.7202  0.4404  0.6600  3 U 2.84
Se  0.2297  0.9296  0.6587  2 U 2.77, 1 Sn 2.96
Se  0.7703  0.5406  0.3412  2 U 2.77, 1 Sn 2.96
Se  0.2297  0.4594  0.6588  2 U 2.77, 1 Sn 2.96
Se  0.6999  0.9296  0.6587  2 U 2.77, 1 Sn 2.96
Se  0.2798  0.5596  0.3400  3 U 2.84
Se  0.7703  0.0704  0.3413  2 U 2.77, 1 Sn 2.96
Sn  0.0000  0.0000  0.5000  6 Se 2.96
U  0.0000  0.5000  0.5000  6 Se 2.77-2.84
U  0.5000  0.0000  0.5000  6 Se 2.77-2.84
U  0.5000  0.5000  0.5000  6 Se 2.77-2.84

Values from the calculation:
magnetization: 0.27 μB per atom
ΔE_f (raw): -71 kJ/mol of atoms


Density functional theory data (PBE) for a relaxed CePuIn crystal.

Unit cell a=3.3314 b=5.1703 c=5.1703 alpha=120.00 beta=90.00 gamma=90.00
Closest atoms and distances in Å follow each position.
Element x y z (fractional)
In  0.0000  0.0000  0.0000  2 In 3.33, 6 Ce 3.42, 6 Pu 3.42
Ce  0.5001  0.6667  0.3333  3 Pu 2.99, 2 Ce 3.33
Pu  0.4999  0.3333  0.6667  3 Ce 2.99, 2 Pu 3.33

Values from the calculation:
magnetization: 2.34 μB per atom
E_form: -0.5 eV/f.u.
offset from the most stable computed form: 1.0 meV/atom


Density functional theory data (PBE) for a relaxed Er8Cd2Ag crystal.

Unit cell a=5.2121 b=6.9654 c=9.2409 alpha=106.66 beta=106.38 gamma=90.00
Closest atoms and distances in Å follow each position.
Element x y z (fractional)
Er  0.0231  0.7708  0.0462  1 Cd 3.04, 2 Ag 3.15, 2 Er 3.39
Er  0.8041  0.7057  0.6083  1 Cd 2.97
Er  0.4079  0.5473  0.8158  1 Ag 3.09, 2 Cd 3.33, 3 Er 3.38-3.39
Er  0.9769  0.2292  0.9538  1 Cd 3.04, 2 Ag 3.15, 2 Er 3.39
Er  0.3386  0.0397  0.6772  1 Ag 2.96, 3 Cd 2.96-3.23
Er  0.5921  0.4527  0.1842  1 Ag 3.09, 2 Cd 3.33, 3 Er 3.38-3.39
Er  0.1959  0.2943  0.3917  1 Cd 2.97
Er  0.6614  0.9603  0.3228  1 Ag 2.96, 3 Cd 2.96-3.23
Ag  0.5000  0.0000  0.0000  8 Er 2.96-3.15
Cd  0.1864  0.7130  0.3729  5 Er 2.96-3.23
Cd  0.8136  0.2870  0.6271  5 Er 2.96-3.23

Values from the calculation:
magnetization: 0.00 μB per atom
E_form: -1.2 eV/f.u.


Density functional theory data (PBE) for a relaxed LaTc3Cl crystal.

Unit cell a=4.5221 b=4.5221 c=4.5221 alpha=90.00 beta=90.00 gamma=90.00
Closest atoms and distances in Å follow each position.
Element x y z (fractional)
Cl  0.0000  0.0000  0.0000  6 Tc 2.26
La  0.5000  0.5000  0.5000  12 Tc 3.20
Tc  0.0000  0.0000  0.5000  2 Cl 2.26
Tc  0.0000  0.5000  0.0000  2 Cl 2.26
Tc  0.5000  0.0000  0.0000  2 Cl 2.26

Values from the calculation:
magnetization: 0.00 μB per atom
offset from the most stable computed form: 0.0 meV/atom
ΔE_f (raw): 70 kJ/mol of atoms


Density functional theory data (PBE) for a relaxed Pr6Hg3O crystal.

Unit cell a=6.7098 b=8.3049 c=10.5045 alpha=90.00 beta=85.77 gamma=90.00
Closest atoms and distances in Å follow each position.
Element x y z (fractional)
Pr  0.6184  0.2230  0.5634  1 O 2.54
Pr  0.8319  0.6449  0.5503  1 O 2.62
Pr  0.1184  0.2770  0.0634  1 O 2.54
Pr  0.8452  0.9481  0.2275  1 O 2.57
Pr  0.3319  0.8551  0.0503  1 O 2.62
Pr  0.1681  0.3551  0.4497  1 O 2.62
Pr  0.1548  0.0519  0.7725  1 O 2.57
Pr  0.3816  0.7770  0.4366  1 O 2.54
Pr  0.6681  0.1449  0.9497  1 O 2.62
Pr  0.3452  0.5519  0.7275  1 O 2.57
Pr  0.6548  0.4481  0.2725  1 O 2.57
Pr  0.8816  0.7230  0.9366  1 O 2.54
O  0.5000  0.5000  0.5000  6 Pr 2.54-2.62
O  0.0000  0.0000  0.0000  6 Pr 2.54-2.62
Hg  0.5880  0.8867  0.7341  6 Pr 3.16-3.32
Hg  0.0880  0.6133  0.2341  6 Pr 3.16-3.32
Hg  0.0000  0.0000  0.5000  6 Pr 3.15-3.19
Hg  0.4120  0.1133  0.2659  6 Pr 3.16-3.32
Hg  0.9120  0.3867  0.7659  6 Pr 3.16-3.32
Hg  0.5000  0.5000  0.0000  6 Pr 3.15-3.19

Values from the calculation:
magnetization: 0.00 μB per atom
ΔE_f (raw): -73 kJ/mol of atoms


Density functional theory data (PBE) for a relaxed CaSmOsO6 crystal.

Unit cell a=5.6360 b=5.6360 c=9.4611 alpha=90.00 beta=90.00 gamma=120.00
Closest atoms and distances in Å follow each position.
Element x y z (fractional)
O  0.3297  0.3845  0.8637  1 Os 1.91
O  0.6155  0.9451  0.8637  1 Os 1.91
O  0.3297  0.9451  0.6363  1 Os 1.91
O  0.6703  0.0549  0.3637  1 Os 1.91
O  0.6703  0.6155  0.1363  1 Os 1.91
O  0.3845  0.3297  0.3637  1 Os 1.91
O  0.9451  0.6155  0.3637  1 Os 1.91
O  0.0549  0.6703  0.8637  1 Os 1.91
O  0.9451  0.3297  0.1363  1 Os 1.91
O  0.6155  0.6703  0.6363  1 Os 1.91
O  0.0549  0.3845  0.6363  1 Os 1.91
O  0.3845  0.0549  0.1363  1 Os 1.91
Ca  0.0000  0.0000  0.5000  6 O 2.41
Ca  0.0000  0.0000  0.0000  6 O 2.41
Sm  0.6667  0.3333  0.7500  6 O 2.32
Sm  0.3333  0.6667  0.2500  6 O 2.32
Os  0.3333  0.6667  0.7500  6 O 1.91
Os  0.6667  0.3333  0.2500  6 O 1.91

Values from the calculation:
magnetization: 0.12 μB per atom
ΔE_f (raw): -202 kJ/mol of atoms


Density functional theory data (PBE) for a relaxed LaAgPt2 crystal.

Unit cell a=5.1975 b=5.1975 c=5.1975 alpha=129.81 beta=129.82 gamma=73.70
Closest atoms and distances in Å follow each position.
Element x y z (fractional)
Pt  0.0000  0.0000  0.0000  4 Ag 3.03, 4 La 3.03, 4 Pt 3.12
Pt  0.5000  0.5000  0.0000  4 Ag 3.03, 4 La 3.03, 4 Pt 3.12
Ag  0.7500  0.2500  0.5000  8 Pt 3.03, 4 La 3.12
La  0.2500  0.7500  0.5000  8 Pt 3.03, 4 Ag 3.12

Values from the calculation:
magnetization: 0.00 μB per atom
E_form: -2.5 eV/f.u.


Density functional theory data (PBE) for a relaxed CeErSnAu crystal.

Unit cell a=5.2795 b=5.2795 c=5.2795 alpha=60.00 beta=60.00 gamma=60.00
Closest atoms and distances in Å follow each position.
Element x y z (fractional)
Sn  0.2500  0.2500  0.2500  4 Ce 3.23, 4 Er 3.23
Au  0.7500  0.7500  0.7500  4 Er 3.23, 4 Ce 3.23
Ce  0.0000  0.0000  0.0000  4 Sn 3.23, 4 Au 3.23
Er  0.5000  0.5000  0.5000  4 Au 3.23, 4 Sn 3.23

Values from the calculation:
magnetization: 0.43 μB per atom
E_form: -2.5 eV/f.u.


Density functional theory data (PBE) for a relaxed Pr2AuCl crystal.

Unit cell a=4.3675 b=4.3675 c=7.2142 alpha=72.38 beta=72.38 gamma=60.00
Closest atoms and distances in Å follow each position.
Element x y z (fractional)
Cl  0.0000  0.0000  0.0000  6 Pr 3.04
Au  0.5000  0.5000  0.5000  6 Pr 3.04
Pr  0.7500  0.7500  0.7500  3 Cl 3.04, 3 Au 3.04
Pr  0.2500  0.2500  0.2500  3 Cl 3.04, 3 Au 3.04

Values from the calculation:
magnetization: 0.00 μB per atom
offset from the most stable computed form: 18.1 meV/atom
ΔE_f (raw): -105 kJ/mol of atoms